Density functional theory data (GGA-PBE) for a relaxed structure of FeRh2W.

Energy above the lowest structure with this stoichiometry   0.617 eV per atom
Fermi-level density of states   5.81 states/eV/f.u.

Geometry as extended XYZ:
```
8
Lattice="-0.151 2.182 -3.026 -1.582 -2.780 -1.926 -8.732 2.506 -0.062" Properties=species:S:1:pos:R:3 pbc="T T T"
Rh -8.042 1.398 -4.351
Rh -7.223 1.613 -1.933
Rh -3.193 -0.806 -1.643
Rh -2.473 1.610 -2.102
W -4.875 2.194 -2.782
W 0.000 0.000 0.000
Fe -5.591 -0.287 -2.232
Fe -0.867 -0.299 -2.476
```